Arrangement i

CeNdY: optimized geometry, PBE.

Computed properties:
Theoretical density in g/cm3: 6.4

Structure (CIF):
```
data_CeNdY
_space_group_name_H-M_alt 'P -6 m 2'
_space_group_IT_number 187
_space_group_name_Hall 'P -6 2'
_cell_length_a 5.6432
_cell_length_b 5.6432
_cell_length_c 3.5238
_cell_angle_alpha 90.00
_cell_angle_beta 90.00
_cell_angle_gamma 120.00
loop_
_atom_site_label
_atom_site_fract_x
_atom_site_fract_y
_atom_site_fract_z
Ce1 0.0000 0.0000 0.0000
Nd1 0.6667 0.3333 0.0000
Y1 0.3333 0.6667 0.5000
```

---

Arrangement ii

CeNdY: optimized geometry, PBE.

Computed properties:
Theoretical density in g/cm3: 6.4

Structure (CIF):
```
data_CeNdY
_space_group_name_H-M_alt 'P 1 21/m 1'
_space_group_IT_number 11
_space_group_name_Hall '-P 2yb'
_cell_length_a 6.224
_cell_length_b 3.588
_cell_length_c 8.866
_cell_angle_alpha 90.00
_cell_angle_beta 103.48
_cell_angle_gamma 90.00
loop_
_atom_site_label
_atom_site_fract_x
_atom_site_fract_y
_atom_site_fract_z
Ce1 0.244 0.250 0.498
Nd1 0.477 0.250 0.178
Y1 0.027 0.250 0.829
```

---

Stability check: which of them is most stable? arrangement ii.